First-principles (PBE) data for a geometry-optimized Sr2PW structure, as listed in Alexandria via LeMat-Bulk.

Lattice parameters (Å, degrees): 5.1243 5.1243 5.1243 60.00 60.00 60.00
Atoms (fractional coordinates):
Sr  0.0000  0.0000  0.0000
Sr  0.2500  0.2500  0.2500
P  0.5000  0.5000  0.5000
W  0.7500  0.7500  0.7500

Formation energy (meV/atom): 914
Final energy (eV per atom): -4.52